1.
DFT (PBE) results for a relaxed structure of TiSn3B.

a b c (Å): 5.2649 5.2649 5.2649
angles (deg): 90.00 90.00 90.00
Closest atoms and distances in Å follow each position.
Fractional coordinates of all 5 atoms:
Ti  0.0000  0.0000  0.0000  6 Sn 2.63
Sn  0.0000  0.0000  0.5000  2 Ti 2.63
Sn  0.0000  0.5000  0.0000  2 Ti 2.63
Sn  0.5000  0.0000  0.0000  2 Ti 2.63
B  0.5000  0.5000  0.5000  12 Sn 3.72

## Properties
As for the magnetization: 0.0 μB/f.u. For the theoretical density, the calculation gives 4.720 g/cm³. As for the density of states at the Fermi level: 2.8 states/eV/cell. The energy above the lowest structure with this stoichiometry comes out at 7.60 kcal/mol of atoms. Its symmetry is Pm-3m.


2.
DFT (PBE) results for a relaxed structure of TiSnB3.

a b c (Å): 4.2756 4.2756 4.2756
angles (deg): 90.00 90.00 90.00
Closest atoms and distances in Å follow each position.
Fractional coordinates of all 5 atoms:
Ti  0.0000  0.0000  0.0000  6 B 2.14
Sn  0.5000  0.5000  0.5000  12 B 3.02
B  0.0000  0.0000  0.5000  2 Ti 2.14
B  0.0000  0.5000  0.0000  2 Ti 2.14
B  0.5000  0.0000  0.0000  2 Ti 2.14

## Properties
As for the magnetization: 0.0 μB/f.u. For the theoretical density, the calculation gives 4.228 g/cm³. As for the density of states at the Fermi level: 4.7 states/eV/cell. The energy above the lowest structure with this stoichiometry comes out at 0.00 kcal/mol of atoms. Its symmetry is Pm-3m.


3.
DFT (PBE) results for a relaxed structure of TiSn3B.

a b c (Å): 4.7864 4.7864 4.7864
angles (deg): 90.00 90.00 90.00
Closest atoms and distances in Å follow each position.
Fractional coordinates of all 5 atoms:
Ti  0.0000  0.0000  0.0000  12 Sn 3.38
Sn  0.0000  0.5000  0.5000  2 B 2.39
Sn  0.5000  0.0000  0.5000  2 B 2.39
Sn  0.5000  0.5000  0.0000  2 B 2.39
B  0.5000  0.5000  0.5000  6 Sn 2.39

## Properties
As for the magnetization: 0.0 μB/f.u. For the theoretical density, the calculation gives 6.282 g/cm³. As for the density of states at the Fermi level: 6.5 states/eV/cell. The energy above the lowest structure with this stoichiometry comes out at 0.00 kcal/mol of atoms. Its symmetry is Pm-3m.


4.
DFT (PBE) results for a relaxed structure of Ti12Sn6B.

a b c (Å): 7.1766 7.1766 7.1766
angles (deg): 93.95 93.95 93.95
Closest atoms and distances in Å follow each position.
Fractional coordinates of all 19 atoms:
Ti  0.0123  0.7041  0.9070  1 B 2.19
Ti  0.0930  0.9877  0.2959  1 B 2.19
Ti  0.2149  0.5169  0.4112  3 Ti 2.79-3.00, 4 Sn 2.79-2.89
Ti  0.2959  0.0930  0.9877  1 B 2.19
Ti  0.4112  0.2149  0.5169  3 Ti 2.79-3.00, 4 Sn 2.79-2.89
Ti  0.4831  0.5888  0.7851  3 Ti 2.79-3.00, 4 Sn 2.79-2.89
Ti  0.5169  0.4112  0.2149  3 Ti 2.79-3.00, 4 Sn 2.79-2.89
Ti  0.5888  0.7851  0.4831  3 Ti 2.79-3.00, 4 Sn 2.79-2.89
Ti  0.7041  0.9070  0.0123  1 B 2.19
Ti  0.7851  0.4831  0.5888  3 Ti 2.79-3.00, 4 Sn 2.79-2.89
Ti  0.9070  0.0123  0.7041  1 B 2.19
Ti  0.9877  0.2959  0.0930  1 B 2.19
Sn  0.1333  0.3607  0.7446  8 Ti 2.79-2.93
Sn  0.2554  0.8667  0.6393  8 Ti 2.79-2.93
Sn  0.3607  0.7446  0.1333  8 Ti 2.79-2.93
Sn  0.6393  0.2554  0.8667  8 Ti 2.79-2.93
Sn  0.7446  0.1333  0.3607  8 Ti 2.79-2.93
Sn  0.8667  0.6393  0.2554  8 Ti 2.79-2.93
B  0.0000  0.0000  0.0000  6 Ti 2.19

## Properties
As for the magnetization: 0.0 μB/f.u. For the theoretical density, the calculation gives 5.873 g/cm³. As for the density of states at the Fermi level: 19.1 states/eV/cell. The final energy comes out at -6.707 eV per atom. Its symmetry is R-3.